{"formula": "Nb3InRh6", "functional": "GGA-PBE", "state": "relaxed", "dos_ef_per_ev_cell": 15.95, "delta_e_f_ev_per_atom": -0.4258, "lattice_angstrom": [[-0.857, 4.291, -1.236], [-3.195, -2.488, -6.422], [-6.475, 0.911, 7.646]], "species": ["Nb", "Nb", "Nb", "Nb", "Nb", "Nb", "In", "In", "Rh", "Rh", "Rh", "Rh", "Rh", "Rh", "Rh", "Rh", "Rh", "Rh", "Rh", "Rh"], "fractional_positions": [[0.250, 0.530, 0.370], [0.750, 0.470, 0.630], [0.250, 0.362, 0.786], [0.750, 0.638, 0.214], [0.250, 0.786, 0.978], [0.750, 0.214, 0.022], [0.250, 0.952, 0.577], [0.750, 0.048, 0.423], [0.250, 0.459, 0.073], [0.750, 0.541, 0.927], [0.250, 0.163, 0.172], [0.750, 0.837, 0.828], [0.250, 0.662, 0.677], [0.750, 0.338, 0.323], [0.250, 0.270, 0.479], [0.750, 0.730, 0.521], [0.250, 0.854, 0.266], [0.750, 0.146, 0.734], [0.250, 0.066, 0.872], [0.750, 0.934, 0.128]]}